[1]
Entry from the Alexandria database: a relaxed structure of BaLiPb2 (PBE-GGA).

```
BaLiPb2
1.0
4.231 -2.435 0.000
4.231 2.435 0.000
-2.803 0.000 6.315
Ba Li Pb
1 1 2
Cartesian
0.000 0.000 0.000
2.829 0.000 3.157
0.010 0.000 4.048
5.649 0.000 2.267
```

Energy: -3.230 eV/atom
DOS(E_F): 0.3590 states/eV per atom
Space group: C2/m, No. 12
Calculated formation energy: -0.42 eV/atom


[2]
Entry from the Alexandria database: a relaxed structure of BaLi2Pb (PBE-GGA).

```
BaLi2Pb
1.0
4.342 -2.503 0.000
4.342 2.503 0.000
-2.829 0.000 5.856
Ba Li Pb
1 2 1
Cartesian
0.000 0.000 0.000
2.955 0.000 3.203
5.845 0.000 2.662
0.062 0.000 3.607
```

Energy: -2.714 eV/atom
DOS(E_F): 0.2548 states/eV per atom
Space group: Cm, No. 8
Calculated formation energy: -0.35 eV/atom


[3]
Entry from the Alexandria database: a relaxed structure of BaLi2Pb (PBE-GGA).

```
BaLi2Pb
1.0
3.977 0.000 0.000
0.000 5.127 0.000
-0.663 0.000 6.273
Ba Li Pb
1 2 1
Cartesian
0.000 0.000 0.000
0.793 2.563 4.180
2.522 2.563 2.094
1.657 0.000 3.137
```

Energy: -2.545 eV/atom
DOS(E_F): 0.4453 states/eV per atom
Space group: P2/m, No. 10
Calculated formation energy: -0.18 eV/atom


[4]
Entry from the Alexandria database: a relaxed structure of BaLiPb (PBE-GGA).

```
BaLiPb
1.0
0.000 3.968 3.968
3.968 0.000 3.968
3.968 3.968 0.000
Ba Li Pb
1 1 1
Cartesian
0.000 0.000 0.000
1.984 1.984 1.984
5.952 5.952 5.952
```

Energy: -2.369 eV/atom
DOS(E_F): 1.7040 states/eV per atom
Space group: F-43m, No. 216
Calculated formation energy: 0.15 eV/atom